[1]
ScVIn2 | PBE-GGA | relaxed

Results
energy relative to the lowest polymorph listed for this composition: 441 meV/atom
energy: -77.65 eV per cell
DFT formation energy: 0.378 eV per atom

a = 4.2718 Å, b = 4.2718 Å, c = 20.7003 Å
α = 90.00°, β = 90.00°, γ = 90.00°
Last column: nearest neighbours and their distance in Å.
Space group I-42d (No. 122)
Unique sites:
Sc  0.0000  0.0000  0.0000 [4 per cell]  4 In 3.01, 4 V 3.02
V  0.0000  0.0000  0.5000 [4 per cell]  4 In 2.98, 4 Sc 3.02
In  0.2423  0.2500  0.6250 [8 per cell]  4 In 2.97-3.07, 2 V 2.98, 2 Sc 3.01

[2]
ScVIn2 | PBE-GGA | relaxed

Results
energy relative to the lowest polymorph listed for this composition: 2 meV/atom
energy: -21.17 eV per cell
DFT formation energy: -0.061 eV per atom

a = 4.3391 Å, b = 4.3391 Å, c = 4.3664 Å
α = 90.00°, β = 90.00°, γ = 90.00°
Last column: nearest neighbours and their distance in Å.
Space group P4/mmm (No. 123)
Unique sites:
Sc  0.0000  0.0000  0.0000 [1 per cell]  4 V 3.07, 8 In 3.08
V  0.5000  0.5000  0.0000 [1 per cell]  4 Sc 3.07, 8 In 3.08
In  0.0000  0.5000  0.5000 [2 per cell]  4 In 3.07, 4 Sc 3.08, 4 V 3.08

[3]
ScV4In | PBE-GGA | relaxed

Results
energy: -179.92 eV per cell
DFT formation energy: 0.094 eV per atom

a = 7.3205 Å, b = 7.3205 Å, c = 7.3205 Å
α = 90.00°, β = 90.00°, γ = 90.00°
Last column: nearest neighbours and their distance in Å.
Space group F-43m (No. 216)
Unique sites:
Sc  0.0000  0.0000  0.0000 [4 per cell]  12 V 3.03, 4 In 3.17
V  0.1294  0.1294  0.3706 [16 per cell]  6 V 2.50-2.68
In  0.2500  0.2500  0.7500 [4 per cell]  12 V 3.04, 4 Sc 3.17

[4]
Sc3VIn | PBE-GGA | relaxed

Results
energy relative to the lowest polymorph listed for this composition: 525 meV/atom
energy: -26.30 eV per cell
DFT formation energy: 0.909 eV per atom

a = 5.3197 Å, b = 5.3197 Å, c = 5.3197 Å
α = 90.00°, β = 90.00°, γ = 90.00°
Last column: nearest neighbours and their distance in Å.
Space group Pm-3m (No. 221)
Unique sites:
Sc  0.0000  0.0000  0.5000 [3 per cell]  2 In 2.66
V  0.5000  0.5000  0.5000 [1 per cell]  12 Sc 3.76
In  0.0000  0.0000  0.0000 [1 per cell]  6 Sc 2.66

[5]
Sc3VIn | PBE-GGA | relaxed

Results
energy relative to the lowest polymorph listed for this composition: 0 meV/atom
energy: -28.93 eV per cell
DFT formation energy: 0.384 eV per atom

a = 4.9267 Å, b = 4.9267 Å, c = 4.9267 Å
α = 90.00°, β = 90.00°, γ = 90.00°
Last column: nearest neighbours and their distance in Å.
Space group Pm-3m (No. 221)
Unique sites:
Sc  0.0000  0.0000  0.5000 [3 per cell]  2 V 2.46
V  0.0000  0.0000  0.0000 [1 per cell]  6 Sc 2.46
In  0.5000  0.5000  0.5000 [1 per cell]  12 Sc 3.48

[6]
ZrScVIn | PBE-GGA | relaxed

Results
energy: -107.61 eV per cell
DFT formation energy: -0.041 eV per atom

a = 6.9200 Å, b = 6.9200 Å, c = 6.9200 Å
α = 90.00°, β = 90.00°, γ = 90.00°
Last column: nearest neighbours and their distance in Å.
Space group F-43m (No. 216)
Unique sites:
Zr  0.0000  0.0000  0.0000 [4 per cell]  4 In 3.00, 4 V 3.00
Sc  0.0000  0.0000  0.5000 [4 per cell]  4 In 3.00, 4 V 3.00
V  0.2500  0.2500  0.2500 [4 per cell]  4 Zr 3.00, 4 Sc 3.00
In  0.2500  0.2500  0.7500 [4 per cell]  4 Zr 3.00, 4 Sc 3.00

[7]
ScIn2W | PBE-GGA | relaxed

Results
energy relative to the lowest polymorph listed for this composition: 108 meV/atom
energy: -47.66 eV per cell
DFT formation energy: 0.232 eV per atom

a = 4.1775 Å, b = 4.1775 Å, c = 9.2252 Å
α = 90.00°, β = 90.00°, γ = 90.00°
Last column: nearest neighbours and their distance in Å.
Space group I-4m2 (No. 119)
Unique sites:
Sc  0.0000  0.0000  0.0000 [2 per cell]  8 In 2.95-3.11, 4 W 3.11
In  0.0000  0.0000  0.5000 [2 per cell]  4 Sc 2.95, 4 In 3.11, 4 W 3.11
In  0.0000  0.5000  0.2500 [2 per cell]  4 W 2.95, 4 In 3.11, 4 Sc 3.11
W  0.0000  0.5000  0.7500 [2 per cell]  8 In 2.95-3.11, 4 Sc 3.11

[8]
ScIn2W | PBE-GGA | relaxed

Results
energy relative to the lowest polymorph listed for this composition: 83 meV/atom
energy: -47.87 eV per cell
DFT formation energy: 0.207 eV per atom

a = 5.9817 Å, b = 8.8034 Å, c = 3.0071 Å
α = 90.00°, β = 90.00°, γ = 90.00°
Last column: nearest neighbours and their distance in Å.
Space group Cmmm (No. 65)
Unique sites:
Sc  0.0000  0.0000  0.0000 [2 per cell]  2 W 2.99, 2 Sc 3.01, 8 In 3.06
In  0.2500  0.2500  0.5000 [4 per cell]  4 In 2.99-3.01, 4 W 3.06, 4 Sc 3.06
W  0.0000  0.5000  0.0000 [2 per cell]  2 Sc 2.99, 2 W 3.01, 8 In 3.06

[9]
Sc4InW | PBE-GGA | relaxed

Results
energy: -153.25 eV per cell
DFT formation energy: 0.451 eV per atom

a = 7.9552 Å, b = 7.9552 Å, c = 7.9552 Å
α = 90.00°, β = 90.00°, γ = 90.00°
Last column: nearest neighbours and their distance in Å.
Space group F-43m (No. 216)
Unique sites:
Sc  0.1228  0.1228  0.1228 [16 per cell]  6 Sc 2.76-2.86
In  0.0000  0.0000  0.5000 [4 per cell]  12 Sc 3.30, 4 W 3.44
W  0.2500  0.2500  0.7500 [4 per cell]  12 Sc 3.29, 4 In 3.44

[10]
Sc3InW | PBE-GGA | relaxed

Results
energy relative to the lowest polymorph listed for this composition: 930 meV/atom
energy: -27.55 eV per cell
DFT formation energy: 1.426 eV per atom

a = 5.1493 Å, b = 5.1493 Å, c = 5.1493 Å
α = 90.00°, β = 90.00°, γ = 90.00°
Last column: nearest neighbours and their distance in Å.
Space group Pm-3m (No. 221)
Unique sites:
Sc  0.0000  0.0000  0.5000 [3 per cell]  2 In 2.57
In  0.0000  0.0000  0.0000 [1 per cell]  6 Sc 2.57
W  0.5000  0.5000  0.5000 [1 per cell]  12 Sc 3.64

[11]
ScIn2W | PBE-GGA | relaxed

Results
energy relative to the lowest polymorph listed for this composition: 101 meV/atom
energy: -23.86 eV per cell
DFT formation energy: 0.225 eV per atom

a = 3.0162 Å, b = 3.0162 Å, c = 8.8389 Å
α = 90.00°, β = 90.00°, γ = 90.00°
Last column: nearest neighbours and their distance in Å.
Space group P4/mmm (No. 123)
Unique sites:
Sc  0.0000  0.0000  0.0000 [1 per cell]  4 Sc 3.02, 8 In 3.16
In  0.5000  0.5000  0.2633 [2 per cell]  4 W 2.99, 4 In 3.02, 4 Sc 3.16
W  0.0000  0.0000  0.5000 [1 per cell]  8 In 2.99, 4 W 3.02

[12]
ScInW4 | PBE-GGA | relaxed

Results
energy: -237.19 eV per cell
DFT formation energy: 0.264 eV per atom

a = 7.6302 Å, b = 7.6302 Å, c = 7.6302 Å
α = 90.00°, β = 90.00°, γ = 90.00°
Last column: nearest neighbours and their distance in Å.
Space group F-43m (No. 216)
Unique sites:
Sc  0.0000  0.0000  0.0000 [4 per cell]  12 W 3.16, 4 In 3.30
In  0.2500  0.2500  0.2500 [4 per cell]  12 W 3.16, 4 Sc 3.30
W  0.1245  0.1245  0.6245 [16 per cell]  6 W 2.69-2.71

[13]
ScInW3 | PBE-GGA | relaxed

Results
energy relative to the lowest polymorph listed for this composition: 0 meV/atom
energy: -36.68 eV per cell
DFT formation energy: 2.251 eV per atom

a = 4.6810 Å, b = 4.6810 Å, c = 4.6810 Å
α = 90.00°, β = 90.00°, γ = 90.00°
Last column: nearest neighbours and their distance in Å.
Space group Pm-3m (No. 221)
Unique sites:
Sc  0.0000  0.0000  0.0000 [1 per cell]  6 W 2.34
In  0.5000  0.5000  0.5000 [1 per cell]  12 W 3.31
W  0.0000  0.0000  0.5000 [3 per cell]  2 Sc 2.34

[14]
Sc3InW | PBE-GGA | relaxed

Results
energy relative to the lowest polymorph listed for this composition: 0 meV/atom
energy: -32.21 eV per cell
DFT formation energy: 0.496 eV per atom

a = 5.0864 Å, b = 5.0864 Å, c = 5.0864 Å
α = 90.00°, β = 90.00°, γ = 90.00°
Last column: nearest neighbours and their distance in Å.
Space group Pm-3m (No. 221)
Unique sites:
Sc  0.0000  0.0000  0.5000 [3 per cell]  2 W 2.54
In  0.5000  0.5000  0.5000 [1 per cell]  12 Sc 3.60
W  0.0000  0.0000  0.0000 [1 per cell]  6 Sc 2.54

[15]
ScIn2W | PBE-GGA | relaxed

Results
energy relative to the lowest polymorph listed for this composition: 156 meV/atom
energy: -94.56 eV per cell
DFT formation energy: 0.281 eV per atom

a = 6.8182 Å, b = 6.8182 Å, c = 6.8182 Å
α = 90.00°, β = 90.00°, γ = 90.00°
Last column: nearest neighbours and their distance in Å.
Space group Fm-3m (No. 225)
Unique sites:
Sc  0.0000  0.0000  0.0000 [4 per cell]  8 In 2.95
In  0.2500  0.2500  0.2500 [8 per cell]  4 W 2.95, 4 Sc 2.95
W  0.0000  0.0000  0.5000 [4 per cell]  8 In 2.95

[16]
Sc2InW2 | PBE-GGA | relaxed

Results
energy: -78.72 eV per cell
DFT formation energy: 0.389 eV per atom

a = 3.7248 Å, b = 3.7248 Å, c = 15.8678 Å
α = 90.00°, β = 90.00°, γ = 90.00°
Last column: nearest neighbours and their distance in Å.
Space group I4/mmm (No. 139)
Unique sites:
Sc  0.0000  0.0000  0.1086 [4 per cell]  4 W 2.92, 4 In 3.15
In  0.0000  0.0000  0.5000 [2 per cell]  8 Sc 3.15
W  0.0000  0.5000  0.2500 [4 per cell]  4 W 2.63, 4 Sc 2.92

[17]
ScInW3 | PBE-GGA | relaxed

Results
energy relative to the lowest polymorph listed for this composition: 190 meV/atom
energy: -35.72 eV per cell
DFT formation energy: 2.441 eV per atom

a = 4.8914 Å, b = 4.8914 Å, c = 4.8914 Å
α = 90.00°, β = 90.00°, γ = 90.00°
Last column: nearest neighbours and their distance in Å.
Space group Pm-3m (No. 221)
Unique sites:
Sc  0.0000  0.0000  0.0000 [1 per cell]  12 W 3.46
In  0.5000  0.5000  0.5000 [1 per cell]  6 W 2.45
W  0.0000  0.5000  0.5000 [3 per cell]  2 In 2.45

[18]
ScIn2W | PBE-GGA | relaxed

Results
energy relative to the lowest polymorph listed for this composition: 134 meV/atom
energy: -23.73 eV per cell
DFT formation energy: 0.258 eV per atom

a = 3.6799 Å, b = 3.6799 Å, c = 6.1031 Å
α = 90.00°, β = 90.00°, γ = 90.00°
Last column: nearest neighbours and their distance in Å.
Space group P4mm (No. 99)
Unique sites:
Sc  0.0000  0.0000  0.0000 [1 per cell]  5 In 2.81-3.10, 4 W 2.91
In  0.0000  0.0000  0.4607 [1 per cell]  1 Sc 2.81, 4 W 3.01, 4 In 3.06
In  0.5000  0.5000  0.7247 [1 per cell]  2 W 2.98-3.12, 4 In 3.06, 4 Sc 3.10
W  0.5000  0.5000  0.2127 [1 per cell]  4 Sc 2.91, 6 In 2.98-3.12

[19]
ScIn2W | PBE-GGA | relaxed

Results
energy relative to the lowest polymorph listed for this composition: 37 meV/atom
energy: -24.12 eV per cell
DFT formation energy: 0.161 eV per atom

a = 2.9690 Å, b = 4.4408 Å, c = 6.0137 Å
α = 90.00°, β = 90.00°, γ = 90.00°
Last column: nearest neighbours and their distance in Å.
Space group Pmmm (No. 47)
Unique sites:
Sc  0.0000  0.0000  0.0000 [1 per cell]  2 Sc 2.97, 2 W 3.01, 8 In 3.10
In  0.5000  0.5000  0.2602 [2 per cell]  4 In 2.88-3.13, 4 W 3.04, 4 Sc 3.10
W  0.0000  0.0000  0.5000 [1 per cell]  2 W 2.97, 2 Sc 3.01, 8 In 3.04

[20]
ScIn2W | PBE-GGA | relaxed

Results
energy relative to the lowest polymorph listed for this composition: 0 meV/atom
energy: -48.53 eV per cell
DFT formation energy: 0.124 eV per atom

a = 4.2735 Å, b = 4.2735 Å, c = 8.6393 Å
α = 90.00°, β = 90.00°, γ = 90.00°
Last column: nearest neighbours and their distance in Å.
Space group I4/mmm (No. 139)
Unique sites:
Sc  0.0000  0.0000  0.0000 [2 per cell]  4 W 3.02, 8 In 3.04
In  0.0000  0.5000  0.2500 [4 per cell]  4 In 3.02, 4 Sc 3.04, 4 W 3.04
W  0.0000  0.0000  0.5000 [2 per cell]  4 Sc 3.02, 8 In 3.04